1.
6
Lattice="0.000 3.687 3.687 3.687 0.000 3.687 3.687 3.687 0.000" Properties=species:S:1:pos:R:3 comment="SbPIr4, PBEsol geometry, DFT meta-GGA SCAN" volume_a3_per_atom=16.71 final_energy_ev_per_atom=-54.504 dos_ef_per_ev_atom=1.16 pbc="T T T"
Sb 0.000 0.000 0.000
P 5.531 5.531 5.531
Ir 2.769 2.769 2.769
Ir 4.606 4.606 2.769
Ir 4.606 2.769 4.606
Ir 2.769 4.606 4.606

---

2.
5
Lattice="5.157 0.000 0.000 0.000 5.157 0.000 0.000 0.000 5.198" Properties=species:S:1:pos:R:3 comment="SbTe2MoC, PBEsol geometry, DFT meta-GGA SCAN" volume_a3_per_atom=27.65 final_energy_ev_per_atom=-29.608 dos_ef_per_ev_atom=0.83 pbc="T T T"
Sb 0.000 0.000 0.000
Te 0.000 2.579 2.599
Te 2.579 0.000 2.599
Mo 0.000 0.000 2.599
C 2.579 2.579 0.000